Density functional theory data (GGA-PBE) for a relaxed La4Dy2Y5 crystal.

## Properties
The calculation puts the formation energy at 89 meV per atom. For the total energy, the calculation gives -5.478 eV/atom. The value obtained for the offset from the most stable computed form is 0.0 kJ/mol of atoms.

a b c (Å): 17.845 3.555 11.818
angles (deg): 90.00 94.28 90.00
Space group C2/m (No. 12)
Inequivalent atoms, fractional coordinates:
1 La 0.038 0.000 0.263 (multiplicity 4)
2 La 0.141 0.500 0.796 (multiplicity 4)
3 Dy 0.215 0.500 0.357 (multiplicity 4)
4 Y 0.000 0.500 0.000 (multiplicity 2)
5 Y 0.098 0.000 0.540 (multiplicity 4)
6 Y 0.178 0.000 0.072 (multiplicity 4)